Entry 1:
First-principles (PBE) data for a relaxed structure of TbPuTeAs, as listed in Alexandria via LeMat-Bulk.

Calculated values
VASP energy, eV per atom: -7.992

abc: 4.2521 4.2521 21.2368
angles: 90.00 90.00 120.00
Space group R3m (No. 160, hexagonal axes)
Asymmetric unit:
Tb: 0.0000 0.0000 0.0000 (multiplicity 3)
Pu: 0.0000 0.0000 0.4828 (multiplicity 3)
Te: 0.0000 0.0000 0.2419 (multiplicity 3)
As: 0.0000 0.0000 0.7403 (multiplicity 3)

=====

Entry 2:
First-principles (PBE) data for a relaxed structure of Pm2Dy2YHo4, as listed in Alexandria via LeMat-Bulk.

Calculated values
VASP energy, eV per atom: -4.833

abc: 18.654 3.594 9.550
angles: 90.00 115.74 90.00
Space group C2/m (No. 12)
Asymmetric unit:
Pm: 0.166 0.000 0.499 (multiplicity 4)
Dy: 0.147 0.500 0.163 (multiplicity 4)
Y: 0.000 0.500 0.500 (multiplicity 2)
Ho: 0.019 0.000 0.836 (multiplicity 4)
Ho: 0.186 0.500 0.836 (multiplicity 4)

=====

Entry 3:
First-principles (PBE) data for a relaxed structure of LiHfZr2N4, as listed in Alexandria via LeMat-Bulk.

Calculated values
VASP energy, eV per atom: -9.337

abc: 4.519 4.519 9.125
angles: 90.00 90.00 90.00
Space group I4/mmm (No. 139)
Asymmetric unit:
Li: 0.000 0.000 0.000 (multiplicity 2)
Hf: 0.000 0.000 0.500 (multiplicity 2)
Zr: 0.000 0.500 0.250 (multiplicity 4)
N: 0.000 0.000 0.262 (multiplicity 4)
N: 0.000 0.500 0.000 (multiplicity 4)

=====

no.,mass density (Mg/m³)
1,9.1
2,7.9
3,7.6